1.
Below is crystalline RbNdTlO3 at its relaxed geometry, with properties calculated at the PBE level.

Unit cell a=7.122 b=3.629 c=11.181 alpha=90.00 beta=107.35 gamma=90.00
Space group P2_1/m (No. 11)
Asymmetric unit:
Rb  0.242  0.250  0.238
Nd  0.332  0.750  0.874
Tl  0.152  0.250  0.600
O  0.101  0.250  0.793
O  0.345  0.750  0.651
O  0.438  0.750  0.091

Properties
DOS(E_F), states/eV per atom: 0.1278
Final energy, eV/atom: -5.6828
Crystal system: monoclinic

---

2.
Below is crystalline U6Se8Cl at its relaxed geometry, with properties calculated at the PBE level.

Unit cell a=6.9365 b=6.9365 c=31.0984 alpha=90.00 beta=90.00 gamma=120.00
Space group R-3 (No. 148, hexagonal axes)
Asymmetric unit:
U  0.0000  0.3283  0.4456
Se  0.0000  0.0000  0.1667
Se  0.0000  0.3385  0.6061
Cl  0.0000  0.0000  0.5000

Properties
DOS(E_F), states/eV per atom: 1.7376
Final energy, eV/atom: -7.5111
Crystal system: trigonal

---

3.
Below is crystalline Tb2PrY6Er at its relaxed geometry, with properties calculated at the PBE level.

Unit cell a=9.147 b=15.068 c=9.622 alpha=90.00 beta=97.64 gamma=90.00
Space group C2/c (No. 15)
Asymmetric unit:
Tb  0.250  0.051  0.048
Pr  0.000  0.025  0.750
Y  0.064  0.186  0.443
Y  0.099  0.392  0.617
Y  0.210  0.224  0.816
Er  0.000  0.410  0.250

Properties
DOS(E_F), states/eV per atom: 1.5302
Final energy, eV/atom: -5.6224
Crystal system: monoclinic